Material: TmThCu2
Method: DFT, PBE
State: relaxed

Lattice parameters (Å, degrees): 4.968 4.968 4.968 60.00 60.00 60.00
Positions (direct):
Th 0.500 0.500 0.500
Cu 0.250 0.250 0.250
Tm 0.000 0.000 0.000
Cu 0.750 0.750 0.750

Calculated values
Uncorrected energy (Ha/atom): -0.1900
Calculated formation energy (eV/atom): -0.149
Total magnetization (μB/cell): 0.0

***

Material: Ho2ScAl3
Method: DFT, PBE
State: relaxed

Lattice parameters (Å, degrees): 3.510 3.510 10.579 90.00 90.00 90.00
Positions (direct):
Ho 0.500 0.500 0.174
Al 0.000 0.000 0.000
Ho 0.500 0.500 0.826
Al 0.000 0.000 0.352
Al 0.000 0.000 0.648
Sc 0.500 0.500 0.500

Calculated values
Uncorrected energy (Ha/atom): -0.1787
Calculated formation energy (eV/atom): -0.410
Total magnetization (μB/cell): 0.0

***

Material: LaMnCu2
Method: DFT, PBE
State: relaxed

Lattice parameters (Å, degrees): 4.817 4.817 3.267 90.00 90.00 90.01
Each line ends with the local moment (μB).
Positions (direct):
Cu 0.500 0.500 0.000  0.02
La 0.500 0.000 0.500  -0.01
Mn 0.000 0.500 0.500  3.90
Cu 0.000 0.000 0.000  0.02

Calculated values
Uncorrected energy (Ha/atom): -0.1952
Calculated formation energy (eV/atom): 0.261
Total magnetization (μB/cell): 4.0

***

Material: CrMo2NCl
Method: DFT, PBE
State: relaxed

Lattice parameters (Å, degrees): 4.732 3.580 4.732 90.00 90.00 90.00
Each line ends with the local moment (μB).
Positions (direct):
N 0.000 0.500 0.000  0.07
Cl 0.500 0.500 0.500  0.01
Mo 0.500 0.000 0.000  1.40
Cr 0.000 0.000 0.000  -0.67
Mo 0.000 0.000 0.500  1.23

Calculated values
Uncorrected energy (Ha/atom): -0.2601
E_form (uncorrected) (eV/f.u.): 6.06
Total magnetization (μB/cell): 2.5

***

Material: Zr3PaN6
Method: DFT, PBE
State: relaxed

Lattice parameters (Å, degrees): 5.680 5.680 5.908 61.27 61.27 60.00
Positions (direct):
N 0.950 0.532 0.254
N 0.048 0.455 0.746
Zr 0.642 0.642 0.075
N 0.455 0.751 0.746
N 0.265 0.950 0.254
Zr 0.359 0.359 0.923
N 0.532 0.265 0.254
N 0.751 0.048 0.746
Zr 0.138 0.138 0.585
Pa 0.861 0.861 0.418

Calculated values
Uncorrected energy (Ha/atom): -0.3605
E_form (uncorrected) (eV/f.u.): -13.01
Total magnetization (μB/cell): 0.0

***

Material: Rb2TaAlTl
Method: DFT, PBE
State: relaxed

Lattice parameters (Å, degrees): 6.909 6.909 5.125 90.00 90.00 90.00
Each line ends with the local moment (μB).
Positions (direct):
Al 0.000 0.000 0.000  -0.01
Ta 0.500 0.500 0.500  2.28
Tl 0.000 0.000 0.500  0.00
Rb 0.500 0.000 0.000  0.01
Rb 0.000 0.500 0.000  0.01

Calculated values
Uncorrected energy (Ha/atom): -0.0902
Calculated formation energy (eV/atom): 1.526
Total magnetization (μB/cell): 3.7